4
Lattice="8.3615 -0.0485 -0.0284 7.9523 2.5842 -0.0284 7.9523 1.2361 2.2696" Properties=species:S:1:pos:R:3 comment="Fe2CoRh, relaxed, DFT GGA-PBE" total_energy_ev_per_fu=-31.1 spacegroup="R-3m (166)" pbc="T T T"
Fe 0.0975 0.0152 0.0089
Fe 12.0355 1.8708 1.0975
Rh 6.0665 0.9430 0.5532
Co 18.1995 2.8289 1.6596

6
Lattice="0.0000 3.3097 3.3097 3.3097 0.0000 3.3097 3.3097 3.3097 0.0000" Properties=species:S:1:pos:R:3 comment="Fe4CoRh, relaxed, DFT GGA-PBE" total_energy_ev_per_fu=-47.6 spacegroup="F-43m (216)" pbc="T T T"
Rh 4.9646 4.9646 4.9646
Fe 2.4797 2.4797 2.4797
Fe 4.1398 4.1398 2.4797
Fe 4.1398 2.4797 4.1398
Fe 2.4797 4.1398 4.1398
Co 0.0000 0.0000 0.0000

11
Lattice="2.8302 0.0004 0.5113 -0.2592 6.2819 1.4488 0.1080 0.2949 7.5016" Properties=species:S:1:pos:R:3 comment="Fe8Co2Rh, relaxed, DFT GGA-PBE" total_energy_ev_per_fu=-89.5 spacegroup="C2/m (12)" pbc="T T T"
Fe 0.3471 5.8688 5.9353
Fe 2.3225 0.6935 3.0720
Fe 1.8420 1.3854 5.7397
Fe 2.4422 3.4788 2.4159
Fe 0.8274 5.1774 3.2673
Fe 1.4550 4.7737 7.8881
Fe 0.2275 3.0838 6.5916
Fe 1.2145 1.7889 1.1198
Co 1.9457 4.1437 5.1695
Co 0.7238 2.4189 3.8378
Rh 2.9335 0.2883 7.7855

4
Lattice="-3.5139 -2.9514 -0.3494 1.2574 -4.3549 0.7965 0.6227 3.9612 2.2588" Properties=species:S:1:pos:R:3 comment="Fe2CoRh, relaxed, DFT GGA-PBE" total_energy_ev_per_fu=-31.2 spacegroup="I-4m2 (119)" pbc="T T T"
Co -2.0097 -1.3217 1.0664
Fe 0.3759 -2.0235 1.6394
Fe 0.0000 0.0000 0.0000
Rh -1.1283 -3.6532 0.2235

19
Lattice="-2.3069 -2.2721 -5.7931 -3.0610 -5.3579 2.4424 -6.0395 2.7123 0.4632" Properties=species:S:1:pos:R:3 comment="FeCo12Rh6, relaxed, DFT GGA-PBE" total_energy_ev_per_fu=-126.1 spacegroup="R-3m (166)" pbc="T T T"
Rh -3.7281 -3.6471 0.6815
Rh -6.1748 -5.3472 -2.5691
Rh -3.3472 -2.0884 -3.4785
Rh -5.2326 0.4294 -0.3183
Rh -7.6792 -1.2707 -3.5689
Rh -8.0602 -2.8294 0.5911
Co -7.0934 -0.6031 0.8856
Co -6.8126 0.5458 -2.1806
Co -3.6462 -1.2064 0.5671
Co -7.9769 -4.5940 -1.0989
Co -7.7612 -3.7113 -3.4545
Co -4.5948 -5.4636 -0.7068
Co -2.5785 -2.6321 -1.2224
Co -3.4305 -0.3238 -1.7885
Co -4.3140 -4.3147 -3.7731
Co -5.4229 -1.3100 -4.5099
Co -8.8288 -2.2857 -1.6650
Co -5.9845 -3.6078 1.6225
Fe 0.0000 0.0000 0.0000

4
Lattice="4.8390 0.0052 0.0010 2.1369 4.3416 -0.0010 -3.0087 -2.9424 2.3886" Properties=species:S:1:pos:R:3 comment="Fe2CoRh, relaxed, DFT GGA-PBE" total_energy_ev_per_fu=-31.3 spacegroup="Immm (71)" pbc="T T T"
Co 1.3081 1.7863 1.1938
Fe 0.0617 0.0384 0.0000
Fe 3.4263 2.1350 0.0000
Rh 2.6591 -0.3819 1.1948

4
Lattice="-5.8280 -0.9270 5.9511 -4.5513 -3.2008 6.2675 -3.6797 -1.0283 7.4594" Properties=species:S:1:pos:R:3 comment="FeCo2Rh, relaxed, DFT GGA-PBE" total_energy_ev_per_fu=-29.7 spacegroup="R-3m (166)" pbc="T T T"
Co -7.0772 -2.5955 9.9059
Co -14.0112 -5.1385 19.6113
Fe -3.5147 -1.2890 4.9195
Rh -10.5442 -3.8670 14.7586

16
Lattice="4.0782 0.0000 0.0000 0.0000 5.8208 0.0000 0.0000 0.0000 8.1548" Properties=species:S:1:pos:R:3 comment="Fe4Co3Rh, relaxed, DFT GGA-PBE" total_energy_ev_per_fu=-62.8 spacegroup="P4/mmm (123)" pbc="T T T"
Co 2.0387 2.9104 2.0387
Co 0.0000 0.0000 4.0774
Co 2.0395 0.0000 6.1161
Co 2.0395 2.9104 6.1161
Co 2.0387 0.0000 2.0387
Co 0.0000 0.0000 0.0000
Fe 4.0777 1.3962 2.0387
Fe 2.0391 1.3963 4.0774
Fe 4.0777 4.4245 2.0387
Fe 2.0391 4.4244 4.0774
Fe 2.0391 4.4244 0.0000
Fe 0.0005 1.3962 6.1161
Fe 2.0391 1.3963 0.0000
Fe 0.0005 4.4245 6.1161
Rh 0.0000 2.9104 0.0000
Rh 0.0000 2.9104 4.0774

10
Lattice="5.9681 0.0000 0.0000 0.0000 5.9681 0.0000 0.0000 0.0000 3.6924" Properties=species:S:1:pos:R:3 comment="FeCo2Rh2, relaxed, DFT GGA-PBE" total_energy_ev_per_fu=-36.2 spacegroup="P4/mbm (127)" pbc="T T T"
Co 2.1791 5.1632 0.0000
Co 0.8049 2.1791 0.0000
Co 5.1632 3.7890 0.0000
Co 3.7890 0.8049 0.0000
Rh 4.9690 1.9850 1.8462
Rh 3.9831 4.9690 1.8462
Rh 0.9991 3.9831 1.8462
Rh 1.9850 0.9991 1.8462
Fe 2.9840 2.9840 0.0000
Fe 0.0000 0.0000 0.0000

12
Lattice="4.0613 0.0149 -1.1839 -0.8120 5.2212 -2.7199 -0.0740 0.4139 7.3093" Properties=species:S:1:pos:R:3 comment="Fe6CoRh5, relaxed, DFT GGA-PBE" total_energy_ev_per_fu=-95.1 spacegroup="Immm (71)" pbc="T T T"
Rh 1.0359 2.0255 3.5789
Rh -0.4060 2.6106 -1.3599
Rh 2.5581 1.0387 1.2303
Rh 2.1394 3.6245 -0.1734
Rh 0.6172 4.6113 2.1752
Fe 0.3050 2.2551 1.0746
Fe 2.8703 3.3949 2.3308
Fe -0.1114 4.9324 -0.3201
Fe 1.4121 3.9852 -2.6641
Fe 1.8373 1.2508 -1.2397
Fe 3.2867 0.7176 3.7255
Co 0.0000 0.0000 0.0000

4
Lattice="0.0000 2.8690 2.8690 2.8690 0.0000 2.8690 2.8690 2.8690 0.0000" Properties=species:S:1:pos:R:3 comment="Fe2CoRh, relaxed, DFT GGA-PBE" total_energy_ev_per_fu=-29.5 spacegroup="Fm-3m (225)" pbc="T T T"
Fe 1.4345 1.4345 1.4345
Fe 4.3035 4.3035 4.3035
Rh 2.8690 2.8690 2.8690
Co 0.0000 0.0000 0.0000

4
Lattice="4.1491 0.0000 0.0000 0.0000 4.1491 0.0000 0.0000 0.0000 2.8713" Properties=species:S:1:pos:R:3 comment="FeCo2Rh, relaxed, DFT GGA-PBE" total_energy_ev_per_fu=-29.7 spacegroup="P4/mmm (123)" pbc="T T T"
Co 2.0746 2.0746 0.0000
Co 0.0000 0.0000 0.0000
Fe 2.0746 0.0000 1.4357
Rh 0.0000 2.0746 1.4357

4
Lattice="4.5025 0.0344 0.0000 1.5478 4.2282 0.0000 -3.0251 -2.1313 2.5651" Properties=species:S:1:pos:R:3 comment="FeCo2Rh, relaxed, DFT GGA-PBE" total_energy_ev_per_fu=-29.9 spacegroup="I4/mmm (139)" pbc="T T T"
Fe 0.7739 2.1141 1.2825
Co 0.0000 0.0000 0.0000
Co 3.0251 2.1313 0.0000
Rh 2.2512 0.0172 1.2825

4
Lattice="-2.1063 1.3155 -2.6603 -2.6846 0.5435 2.3942 1.2701 3.3676 0.6597" Properties=species:S:1:pos:R:3 comment="FeCo2Rh, relaxed, DFT GGA-PBE" total_energy_ev_per_fu=-29.9 spacegroup="P4/mmm (123)" pbc="T T T"
Rh -0.7073 1.9556 1.5270
Fe -0.4181 2.3416 -1.0003
Co 0.0000 0.0000 0.0000
Co -2.3954 0.9295 -0.1330

4
Lattice="0.0000 2.9147 2.9147 2.9147 0.0000 2.9147 2.9147 2.9147 0.0000" Properties=species:S:1:pos:R:3 comment="FeCo2Rh, relaxed, DFT GGA-PBE" total_energy_ev_per_fu=-29.7 spacegroup="Fm-3m (225)" pbc="T T T"
Co 1.4574 1.4574 1.4574
Co 4.3721 4.3721 4.3721
Fe 0.0000 0.0000 0.0000
Rh 2.9147 2.9147 2.9147

22
Lattice="-2.6097 -0.8386 -0.2491 4.6365 -9.8199 -0.3089 -0.6733 -0.6037 9.0856" Properties=species:S:1:pos:R:3 comment="Fe7Co3Rh, relaxed, DFT GGA-PBE" total_energy_ev_per_fu=-86.7 spacegroup="Cmcm (63)" pbc="T T T"
Fe 1.8814 -7.7871 6.5037
Fe -0.6576 -3.9408 4.9492
Fe 1.3854 -4.5020 0.6419
Fe 1.1718 -4.6935 3.5244
Fe 0.1817 -6.5687 5.0031
Fe 3.0217 -10.3004 3.0194
Fe -1.8424 -1.1178 7.8569
Fe -0.0320 -6.7602 7.8857
Fe 2.0110 -7.3213 3.5784
Fe 3.1958 -10.1444 0.6707
Fe -1.6683 -0.9617 5.5082
Fe -0.8957 -4.1543 8.1612
Fe -0.5280 -3.4751 2.0239
Fe 2.2491 -7.1079 0.3663
Co 0.3987 -6.3232 1.9033
Co 0.9547 -4.9390 6.6243
Co 0.8444 -9.5158 7.9811
Co 0.2641 -1.9661 3.8519
Co 0.5090 -1.7464 0.5465
Co 1.0894 -9.2961 4.6757
Rh 0.1076 -2.3355 6.7345
Rh 1.2458 -8.9267 1.7931

8
Lattice="-1.5861 1.2326 4.7081 2.7799 -3.8350 1.9406 4.4100 1.7135 3.8196" Properties=species:S:1:pos:R:3 comment="FeCo2Rh, relaxed, DFT GGA-PBE" total_energy_ev_per_fu=-25.2 spacegroup="I-42d (122)" pbc="T T T"
Rh 1.7104 0.8225 5.9260
Rh 0.0000 0.0000 0.0000
Fe 3.8934 -1.7113 4.5423
Fe 0.5969 -1.3012 3.3243
Co 0.5016 0.6861 4.0127
Co 3.8304 0.2056 5.4104
Co 4.2769 -0.8882 8.6298
Co 2.5988 -1.7811 2.8836

4
Lattice="3.5463 0.0000 0.0000 0.0000 2.6261 0.0107 0.0000 2.6083 5.2384" Properties=species:S:1:pos:R:3 comment="FeCo2Rh, relaxed, DFT GGA-PBE" total_energy_ev_per_fu=-29.9 spacegroup="Pmm2 (25)" pbc="T T T"
Fe 0.0000 2.6175 2.5557
Co 0.0000 2.6259 0.1026
Co 1.7731 1.3091 1.2790
Rh 1.7731 3.9250 3.9469

4
Lattice="-1.8405 1.8479 1.2992 -2.0190 -0.5943 -2.0149 -2.0548 -4.4085 3.3593" Properties=species:S:1:pos:R:3 comment="Fe2CoRh, relaxed, DFT GGA-PBE" total_energy_ev_per_fu=-31.6 spacegroup="P4/mmm (123)" pbc="T T T"
Co -3.4709 -2.6796 2.1617
Fe -2.0176 -4.3285 3.2984
Fe -1.0647 -2.2842 1.7406
Rh -2.4434 -0.4753 0.4820

4
Lattice="-1.2697 -7.3560 -3.9743 0.9562 -6.6421 -5.1465 1.0301 -7.8945 -2.8521" Properties=species:S:1:pos:R:3 comment="FeCo2Rh, relaxed, DFT GGA-PBE" total_energy_ev_per_fu=-29.7 spacegroup="R3m (160)" pbc="T T T"
Co 0.1800 -5.4993 -3.0076
Co 0.7136 -21.7994 -11.9220
Rh 0.5372 -16.4125 -8.9759
Fe 0.3607 -11.0200 -6.0268